[1]
Entry from Alexandria via LeMat-Bulk: a relaxed Sr2TlCuN crystal (PBE-GGA).

a b c (Å): 5.601 5.601 3.776
angles (deg): 90.00 90.00 90.00
Space group P4/mmm (No. 123)
Symmetry-distinct sites (fractional):
Sr  0.000  0.500  0.000 x2
Tl  0.000  0.000  0.500 x1
Cu  0.500  0.500  0.500 x1
N  0.500  0.500  0.000 x1

Mass density in Mg/m³: 6.41
E_form (uncorrected) in kJ/mol of atoms: -25.5
Magnetization in μB per formula unit: 0.00
Volume in A^3/atom: 23.689
Uncorrected energy in eV/atom: -3.894



[2]
Entry from Alexandria via LeMat-Bulk: a relaxed PPbSe2 crystal (PBE-GGA).

a b c (Å): 3.688 6.165 11.069
angles (deg): 90.00 90.00 90.00
Space group Imm2 (No. 44)
Symmetry-distinct sites (fractional):
P  0.000  0.000  0.000 x2
Pb  0.000  0.500  0.052 x2
Se  0.000  0.000  0.370 x2
Se  0.000  0.500  0.636 x2

Mass density in Mg/m³: 5.23
E_form (uncorrected) in kJ/mol of atoms: 7.9
Magnetization in μB per formula unit: 0.00
Volume in A^3/atom: 31.460
Uncorrected energy in eV/atom: -3.940



[3]
Entry from Alexandria via LeMat-Bulk: a relaxed CeSmHgRh crystal (PBE-GGA).

a b c (Å): 7.308 7.308 7.308
angles (deg): 90.00 90.00 90.00
Space group F-43m (No. 216)
Symmetry-distinct sites (fractional):
Ce  0.000  0.000  0.000 x4
Sm  0.000  0.000  0.500 x4
Hg  0.250  0.250  0.250 x4
Rh  0.250  0.250  0.750 x4

Mass density in Mg/m³: 10.11
Calculated formation energy in kcal/mol of atoms: -10.48
Magnetization in μB per formula unit: 0.82
Volume in A^3/atom: 24.396
Uncorrected energy in eV/atom: -5.031



[4]
Entry from Alexandria via LeMat-Bulk: a relaxed SbAs2Pt crystal (PBE-GGA).

a b c (Å): 6.794 6.794 6.794
angles (deg): 90.00 90.00 90.00
Space group F-43m (No. 216)
Symmetry-distinct sites (fractional):
Sb  0.000  0.000  0.000 x4
As  0.000  0.000  0.500 x4
As  0.250  0.250  0.250 x4
Pt  0.250  0.250  0.750 x4

Mass density in Mg/m³: 9.88
E_form (uncorrected) in kJ/mol of atoms: 23.0
Magnetization in μB per formula unit: 0.00
Volume in A^3/atom: 19.602
Uncorrected energy in eV/atom: -4.627